*P*
A relaxed AlCdSb crystal, computed with PBE-GGA.

Calculated values
Spin magnetization   0.0000 μB per atom

Unit cell a=6.1295 b=3.2006 c=7.5601 alpha=90.00 beta=101.55 gamma=90.00
Last column: nearest neighbours and their distance in Å.
Element x y z (fractional)
1 Sb 0.2968 0.0000 0.5768  3 Al 2.77-2.89, 1 Cd 3.06
2 Sb 0.2968 0.5000 0.0768  3 Al 2.77-2.89, 1 Cd 3.06
3 Al 0.0029 0.0000 0.2467  3 Sb 2.77-2.89, 3 Cd 2.91-2.98
4 Al 0.0029 0.5000 0.7467  3 Sb 2.77-2.89, 3 Cd 2.91-2.98
5 Cd 0.6805 0.0000 0.9063  3 Al 2.91-2.98, 1 Sb 3.06, 2 Cd 3.20
6 Cd 0.6805 0.5000 0.4063  3 Al 2.91-2.98, 1 Sb 3.06, 2 Cd 3.20

*Q*
A relaxed AlCdSb crystal, computed with PBE-GGA.

Calculated values
Spin magnetization   0.0000 μB per atom

Unit cell a=4.0970 b=6.1496 c=6.7462 alpha=101.72 beta=106.12 gamma=109.10
Last column: nearest neighbours and their distance in Å.
Element x y z (fractional)
1 Sb 0.4573 0.3125 0.7170  3 Al 2.77-2.85, 1 Cd 3.10
2 Sb 0.5427 0.6875 0.2830  3 Al 2.77-2.85, 1 Cd 3.10
3 Al 0.9582 0.7797 0.0244  1 Al 2.72, 3 Sb 2.77-2.85, 1 Cd 3.02
4 Al 0.0418 0.2203 0.9756  1 Al 2.72, 3 Sb 2.77-2.85, 1 Cd 3.02
5 Cd 0.2825 0.7713 0.6735  3 Al 3.02-3.17, 4 Sb 3.10-3.22, 1 Cd 3.28
6 Cd 0.7175 0.2287 0.3265  3 Al 3.02-3.17, 4 Sb 3.10-3.22, 1 Cd 3.28

Which of them is the most stable? Correct choice: *Q*.